(1)
# Rb2VCdF6 | the Alexandria database | GGA+U | relaxed
# Calculated total energy: -4.76 eV per atom
# V: 16.8 Å³/atom
# Total magnetic moment: 12.0 Bohr magnetons per cell
data_Rb2VCdF6
_cell_length_a 8.763
_cell_length_b 8.763
_cell_length_c 8.763
_cell_angle_alpha 90.00
_cell_angle_beta 90.00
_cell_angle_gamma 90.00
_symmetry_space_group_name_H-M 'F m -3 m'
_symmetry_Int_Tables_number 225
_symmetry_space_group_name_Hall '-F 4 2 3'
loop_
_atom_site_label
_atom_site_fract_x
_atom_site_fract_y
_atom_site_fract_z
Rb1 0.250 0.250 0.250
V1 0.000 0.000 0.000
Cd1 0.000 0.000 0.500
F1 0.000 0.000 0.242



(2)
# RbVCdF6 | the Alexandria database | GGA+U | relaxed
# Calculated total energy: -4.95 eV per atom
# V: 17.9 Å³/atom
# Total magnetic moment: 8.0 Bohr magnetons per cell
data_RbVCdF6
_cell_length_a 7.640
_cell_length_b 7.863
_cell_length_c 10.699
_cell_angle_alpha 90.00
_cell_angle_beta 90.00
_cell_angle_gamma 90.00
_symmetry_space_group_name_H-M 'I m m a'
_symmetry_Int_Tables_number 74
_symmetry_space_group_name_Hall '-I 2b 2'
loop_
_atom_site_label
_atom_site_fract_x
_atom_site_fract_y
_atom_site_fract_z
Rb1 0.000 0.250 0.130
V1 0.000 0.000 0.500
Cd1 0.250 0.250 0.750
F1 0.000 0.250 0.471
F2 0.000 0.250 0.855
F3 0.182 0.018 0.628



(3)
# RbCdWF6 | the Alexandria database | GGA+U | relaxed
# Calculated total energy: -4.68 eV per atom
# V: 19.5 Å³/atom
# Total magnetic moment: 8.1 Bohr magnetons per cell
data_RbCdWF6
_cell_length_a 7.500
_cell_length_b 8.224
_cell_length_c 11.393
_cell_angle_alpha 90.00
_cell_angle_beta 90.00
_cell_angle_gamma 90.00
_symmetry_space_group_name_H-M 'I m m a'
_symmetry_Int_Tables_number 74
_symmetry_space_group_name_Hall '-I 2b 2'
loop_
_atom_site_label
_atom_site_fract_x
_atom_site_fract_y
_atom_site_fract_z
Rb1 0.000 0.250 0.124
Cd1 0.250 0.250 0.750
W1 0.000 0.000 0.500
F1 0.000 0.250 0.550
F2 0.000 0.250 0.869
F3 0.185 0.051 0.381